Record 1
This record from Alexandria via LeMat-Bulk describes a relaxed HoEr2Tm2Th crystal. The functional is PBE.

abc: 6.4577 6.6586 8.8254
angles: 90.00 97.76 90.00
Space group P2_1/m (No. 11)
One atom of each set of equivalent atoms:
Ho (0.1931, 0.2500, 0.1669) [2 per cell]
Er (0.0847, 0.7500, 0.5241) [2 per cell]
Er (0.1786, 0.7500, 0.1588) [2 per cell]
Tm (0.3140, 0.0024, 0.8424) [4 per cell]
Th (0.4314, 0.2500, 0.5299) [2 per cell]

Calculated values
**E_form**: 0.17 eV per atom
**Size of the total moment**: 0.00 μB/f.u.
**Crystal system**: monoclinic
**DFT total energy**: -4.838 eV per atom



Record 2
This record from Alexandria via LeMat-Bulk describes a relaxed HoEr2TmTh crystal. The functional is PBE.

abc: 8.2675 11.2992 7.1496
angles: 90.00 90.00 90.00
Space group Cmcm (No. 63)
One atom of each set of equivalent atoms:
Ho (0.0000, 0.0036, 0.2500) [4 per cell]
Er (0.1889, 0.5000, 0.0000) [8 per cell]
Tm (0.0000, 0.2780, 0.7500) [4 per cell]
Th (0.0000, 0.2715, 0.2500) [4 per cell]

Calculated values
**E_form**: 0.45 eV per atom
**Size of the total moment**: 0.00 μB/f.u.
**Crystal system**: orthorhombic
**DFT total energy**: -4.669 eV per atom



Record 3
This record from Alexandria via LeMat-Bulk describes a relaxed HoErTm2Th crystal. The functional is PBE.

abc: 8.1797 6.0267 6.8892
angles: 90.00 97.97 90.00
Space group P2/c (No. 13)
One atom of each set of equivalent atoms:
Ho (0.0000, 0.0000, 0.0000) [2 per cell]
Er (0.5000, 0.0911, 0.2500) [2 per cell]
Tm (0.3333, 0.4112, 0.5804) [4 per cell]
Th (0.0000, 0.4682, 0.2500) [2 per cell]

Calculated values
**E_form**: 0.38 eV per atom
**Size of the total moment**: 0.01 μB/f.u.
**Crystal system**: monoclinic
**DFT total energy**: -4.720 eV per atom



Record 4
This record from Alexandria via LeMat-Bulk describes a relaxed Ho2Er6Tm3Th crystal. The functional is PBE.

abc: 6.0890 10.5392 11.6474
angles: 90.00 100.05 90.00
Space group C2/m (No. 12)
One atom of each set of equivalent atoms:
Ho (0.0000, 0.1668, 0.0000) [4 per cell]
Er (0.2462, 0.5000, 0.7493) [4 per cell]
Er (0.2493, 0.3348, 0.2508) [8 per cell]
Tm (0.0000, 0.0000, 0.5000) [2 per cell]
Tm (0.0000, 0.3327, 0.5000) [4 per cell]
Th (0.0000, 0.5000, 0.0000) [2 per cell]

Calculated values
**E_form**: 0.03 eV per atom
**Size of the total moment**: 0.00 μB/f.u.
**Crystal system**: monoclinic
**DFT total energy**: -4.753 eV per atom



Record 5
This record from Alexandria via LeMat-Bulk describes a relaxed Ho6Er3TmTh2 crystal. The functional is PBE.

abc: 6.1152 10.5827 11.6929
angles: 90.00 100.06 90.00
Space group C2/m (No. 12)
One atom of each set of equivalent atoms:
Ho (0.2473, 0.0000, 0.2490) [4 per cell]
Ho (0.2487, 0.1679, 0.7512) [8 per cell]
Er (0.0000, 0.0000, 0.5000) [2 per cell]
Er (0.0000, 0.3335, 0.5000) [4 per cell]
Tm (0.0000, 0.5000, 0.0000) [2 per cell]
Th (0.0000, 0.1666, 0.0000) [4 per cell]

Calculated values
**E_form**: 0.02 eV per atom
**Size of the total moment**: 0.00 μB/f.u.
**Crystal system**: monoclinic
**DFT total energy**: -5.015 eV per atom



Record 6
This record from Alexandria via LeMat-Bulk describes a relaxed Ho5ErTm2Th crystal. The functional is PBE.

abc: 5.6451 21.3909 9.5959
angles: 90.00 90.00 90.00
Space group Cmc2_1 (No. 36)
One atom of each set of equivalent atoms:
Ho (0.0000, 0.0141, 0.0000) [4 per cell]
Ho (0.0000, 0.2710, 0.3062) [4 per cell]
Ho (0.0000, 0.3043, 0.6998) [4 per cell]
Ho (0.0000, 0.3976, 0.0237) [4 per cell]
Ho (0.0000, 0.4688, 0.7249) [4 per cell]
Er (0.0000, 0.1897, 0.9994) [4 per cell]
Tm (0.0000, 0.1155, 0.3110) [4 per cell]
Tm (0.0000, 0.1298, 0.6929) [4 per cell]
Th (0.0000, 0.4048, 0.4042) [4 per cell]

Calculated values
**E_form**: 0.17 eV per atom
**Size of the total moment**: 0.00 μB/f.u.
**Crystal system**: orthorhombic
**DFT total energy**: -4.703 eV per atom